1.
Computed, not measured: a relaxed structure of La7Ga2Ni2 at the PBE level of DFT.

a = 8.0632 Å, b = 11.4338 Å, c = 7.0423 Å
α = 90.00°, β = 90.00°, γ = 90.00°
With the nearest neighbours (Å) after each atom.
Space group Cmmm (No. 65)
Inequivalent atoms, fractional coordinates:
1 La 0.0000 0.0000 0.0000 (multiplicity 2)  2 Ni 3.36, 4 Ga 3.74
2 La 0.0000 0.5000 0.2616 (multiplicity 4)  2 Ni 2.99, 2 Ga 3.24
3 La 0.2500 0.2500 0.2626 (multiplicity 8)  2 Ni 2.78
4 Ga 0.1569 0.0000 0.5000 (multiplicity 4)  1 Ga 2.53
5 Ni 0.0000 0.2941 0.0000 (multiplicity 4)  6 La 2.78-2.99

Computed properties:
Total DFT energy (no corrections) = -54.829 eV/f.u.

***

2.
Computed, not measured: a relaxed structure of La3GaNi3 at the PBE level of DFT.

a = 4.1948 Å, b = 10.4229 Å, c = 13.7377 Å
α = 90.00°, β = 90.00°, γ = 90.00°
With the nearest neighbours (Å) after each atom.
Space group Cmcm (No. 63)
Inequivalent atoms, fractional coordinates:
1 La 0.0000 0.0026 0.2500 (multiplicity 4)  7 Ni 2.92-3.18
2 La 0.0000 0.2837 0.1032 (multiplicity 8)  6 Ni 3.00-3.06, 1 Ga 3.28
3 Ga 0.0000 0.0000 0.0000 (multiplicity 4)  4 Ni 2.52
4 Ni 0.0000 0.3020 0.7500 (multiplicity 4)  2 Ni 2.60
5 Ni 0.0000 0.4294 0.5870 (multiplicity 8)  2 Ga 2.52, 2 Ni 2.60-2.81

Computed properties:
Total DFT energy (no corrections) = -38.180 eV/f.u.

***

3.
Computed, not measured: a relaxed structure of La2Ga2Ni3 at the PBE level of DFT.

a = 8.3094 Å, b = 8.3094 Å, c = 8.3094 Å
α = 90.00°, β = 90.00°, γ = 90.00°
With the nearest neighbours (Å) after each atom.
Space group I2_13 (No. 199)
Inequivalent atoms, fractional coordinates:
1 La 0.2417 0.2583 0.7417 (multiplicity 8)  3 Ni 2.78, 1 Ga 3.06
2 Ga 0.0290 0.4710 0.5290 (multiplicity 8)  3 Ni 2.41
3 Ni 0.0000 0.2500 0.0453 (multiplicity 12)  2 Ga 2.41

Computed properties:
Total DFT energy (no corrections) = -35.874 eV/f.u.

***

4.
Computed, not measured: a relaxed structure of La4GaNi at the PBE level of DFT.

a = 6.2737 Å, b = 7.1095 Å, c = 8.0639 Å
α = 90.00°, β = 94.14°, γ = 90.00°
With the nearest neighbours (Å) after each atom.
Space group P2_1/m (No. 11)
Inequivalent atoms, fractional coordinates:
1 La 0.1020 0.0033 0.2290 (multiplicity 4)  2 Ni 2.82-2.93
2 La 0.3559 0.2500 0.6202 (multiplicity 2)  1 Ni 2.95, 1 Ga 3.19
3 La 0.3912 0.7500 0.9248 (multiplicity 2)  1 Ni 2.84, 1 Ga 3.13
4 Ga 0.2034 0.7500 0.5546 (multiplicity 2)  6 La 3.13-3.21
5 Ni 0.1748 0.2500 0.9474 (multiplicity 2)  6 La 2.82-2.95

Computed properties:
Total DFT energy (no corrections) = -30.239 eV/f.u.